The following is a DFT calculation (GGA-PBE) of a geometry-optimized Sc3Ga3NiPd2 structure.

The structure in POSCAR format:
```
Sc3Ga3NiPd2
1.0
-0.332 -7.264 -0.309
5.816 3.492 -2.637
1.464 -0.193 2.972
Ga Sc Ni Pd
3 3 1 2
direct
0.000 0.260 0.500
0.260 0.000 0.500
0.740 0.740 0.500
0.393 0.393 0.000
0.000 0.607 0.000
0.607 0.000 0.000
0.000 0.000 0.000
0.667 0.333 0.500
0.333 0.667 0.500
```

## Properties
- symmetry = No. 189
- electronic total energy (eV per atom) = -5.6884